# 1
First-principles (PBE) data for a relaxed structure of ZnMo2Ir, as listed in the Alexandria database.

The calculation puts the volume at 60 Å³/f.u. For the total energy, the calculation gives -7.96 eV per atom.

CIF file:
```
data_ZnMo2Ir
_chemical_formula_sum 'Zn2 Mo4 Ir2'
_symmetry_space_group_name_H-M 'C m m m'
_symmetry_Int_Tables_number 65
_symmetry_space_group_name_Hall '-C 2 2'
_cell_length_a 5.279
_cell_length_b 8.333
_cell_length_c 2.729
_cell_angle_alpha 90.00
_cell_angle_beta 90.00
_cell_angle_gamma 90.00
loop_
_atom_site_label
_atom_site_type_symbol
_atom_site_fract_x
_atom_site_fract_y
_atom_site_fract_z
Zn1 Zn 0.000 0.000 0.000
Mo1 Mo 0.250 0.250 0.500
Ir1 Ir 0.000 0.500 0.000
```

=====

# 2
First-principles (PBE) data for a relaxed structure of ZnMoIr2, as listed in the Alexandria database.

The calculation puts the volume at 59 Å³/f.u. For the total energy, the calculation gives -7.63 eV per atom.

CIF file:
```
data_ZnMoIr2
_chemical_formula_sum 'Zn3 Mo3 Ir6'
_symmetry_space_group_name_H-M 'R -3 m'
_symmetry_Int_Tables_number 166
_symmetry_space_group_name_Hall '-R 3 2"'
_cell_length_a 2.7941
_cell_length_b 2.7941
_cell_length_c 26.2675
_cell_angle_alpha 90.00
_cell_angle_beta 90.00
_cell_angle_gamma 120.00
loop_
_atom_site_label
_atom_site_type_symbol
_atom_site_fract_x
_atom_site_fract_y
_atom_site_fract_z
Zn1 Zn 0.0000 0.0000 0.0000
Mo1 Mo 0.0000 0.0000 0.5000
Ir1 Ir 0.0000 0.0000 0.2495
```

=====

# 3
First-principles (PBE) data for a relaxed structure of ZnMoIr2, as listed in the Alexandria database.

The calculation puts the volume at 59 Å³/f.u. For the total energy, the calculation gives -7.43 eV per atom.

CIF file:
```
data_ZnMoIr2
_chemical_formula_sum 'Zn1 Mo1 Ir2'
_symmetry_space_group_name_H-M 'P 1 2/m 1'
_symmetry_Int_Tables_number 10
_cell_length_a 4.795
_cell_length_b 2.760
_cell_length_c 4.890
_cell_angle_alpha 90.00
_cell_angle_beta 113.90
_cell_angle_gamma 90.00
loop_
_symmetry_equiv_pos_as_xyz
'x,y,z'
'-x,-y,-z'
'-x,y,-z'
'x,-y,z'
loop_
_atom_site_label
_atom_site_type_symbol
_atom_site_fract_x
_atom_site_fract_y
_atom_site_fract_z
Zn1 Zn 0.000 0.000 0.000
Mo1 Mo 0.000 0.500 0.500
Ir1 Ir 0.500 0.000 0.500
Ir2 Ir 0.500 0.500 0.000
```

=====

# 4
First-principles (PBE) data for a relaxed structure of ZnMo2Ir, as listed in the Alexandria database.

The calculation puts the volume at 61 Å³/f.u. For the total energy, the calculation gives -7.90 eV per atom.

CIF file:
```
data_ZnMo2Ir
_chemical_formula_sum 'Zn3 Mo6 Ir3'
_symmetry_space_group_name_H-M 'R -3 m'
_symmetry_Int_Tables_number 166
_symmetry_space_group_name_Hall '-R 3 2"'
_cell_length_a 2.7810
_cell_length_b 2.7810
_cell_length_c 27.3555
_cell_angle_alpha 90.00
_cell_angle_beta 90.00
_cell_angle_gamma 120.00
loop_
_atom_site_label
_atom_site_type_symbol
_atom_site_fract_x
_atom_site_fract_y
_atom_site_fract_z
Zn1 Zn 0.0000 0.0000 0.0000
Mo1 Mo 0.0000 0.0000 0.2482
Ir1 Ir 0.0000 0.0000 0.5000
```

=====

# 5
First-principles (PBE) data for a relaxed structure of ZnMo2Ir, as listed in the Alexandria database.

The calculation puts the volume at 60 Å³/f.u. For the total energy, the calculation gives -7.91 eV per atom.

CIF file:
```
data_ZnMo2Ir
_chemical_formula_sum 'Zn1 Mo2 Ir1'
_symmetry_space_group_name_H-M 'P 4/m m m'
_symmetry_Int_Tables_number 123
_symmetry_space_group_name_Hall '-P 4 2'
_cell_length_a 3.804
_cell_length_b 3.804
_cell_length_c 4.144
_cell_angle_alpha 90.00
_cell_angle_beta 90.00
_cell_angle_gamma 90.00
loop_
_atom_site_label
_atom_site_type_symbol
_atom_site_fract_x
_atom_site_fract_y
_atom_site_fract_z
Zn1 Zn 0.000 0.000 0.000
Mo1 Mo 0.000 0.500 0.500
Ir1 Ir 0.500 0.500 0.000
```

=====

# 6
First-principles (PBE) data for a relaxed structure of ZnMo2Ir2, as listed in the Alexandria database.

The calculation puts the volume at 81 Å³/f.u. For the total energy, the calculation gives -8.16 eV per atom. The relative energy among the computed polymorphs comes out at 0.00 kcal/mol of atoms.

CIF file:
```
data_ZnMo2Ir2
_chemical_formula_sum 'Zn2 Mo4 Ir4'
_symmetry_space_group_name_H-M 'P 4/m b m'
_symmetry_Int_Tables_number 127
_symmetry_space_group_name_Hall '-P 4 2ab'
_cell_length_a 7.640
_cell_length_b 7.640
_cell_length_c 2.778
_cell_angle_alpha 90.00
_cell_angle_beta 90.00
_cell_angle_gamma 90.00
loop_
_atom_site_label
_atom_site_type_symbol
_atom_site_fract_x
_atom_site_fract_y
_atom_site_fract_z
Zn1 Zn 0.000 0.000 0.000
Mo1 Mo 0.168 0.332 0.500
Ir1 Ir 0.126 0.626 0.000
```

=====

The evaluated calculated formation energy for the records listed, in turn: -0.015; -0.170; 0.028; 0.049; 0.037; -0.033 eV per atom.